A relaxed HgPSe2N crystal, computed with GGA-PBE.

E_form (uncorrected)   1.605 eV/atom
Energy   -2.60 eV per atom
Space-group type   No. 123
Polymorph energy (0 for the lowest one)   1092 meV per atom

Cell and atoms, written as POSCAR:
```
HgPSe2N
1.0
5.332 0.000 0.000
0.000 5.332 0.000
0.000 0.000 4.082
Se N P Hg
2 1 1 1
Direct
0.000 0.500 0.000
0.500 0.000 0.000
0.000 0.000 0.500
0.500 0.500 0.500
0.000 0.000 0.000
```